No. 1
First-principles (GGA-PBE) data for an optimized crystal structure of AcEuBi2, as listed in Alexandria.

The value obtained for the energy above the most stable polymorph in this dataset is 61.9 meV/atom. The space group is No. 123. As for the density of states at the Fermi level: 2.667 states/eV/atom. For the volume, the calculation gives 34.721 Å³/atom. The calculation puts the total DFT energy (no corrections) at -6.320 eV per atom. The value obtained for the formation energy from the elements is -0.78 eV/atom. The calculated density comes out at 9.528 g cm⁻³.

Cell: 6.1682 6.1682 3.6503 Å, 90.00 90.00 90.00°
With the nearest neighbours (Å) after each atom.
Element x y z (fractional)
1 Ac 0.0000 0.0000 0.0000  8 Bi 3.58, 2 Ac 3.65
2 Eu 0.5000 0.5000 0.0000  8 Bi 3.58, 2 Eu 3.65
3 Bi 0.0000 0.5000 0.5000  4 Ac 3.58, 4 Eu 3.58, 2 Bi 3.65
4 Bi 0.5000 0.0000 0.5000  4 Ac 3.58, 4 Eu 3.58, 2 Bi 3.65

No. 2
First-principles (GGA-PBE) data for an optimized crystal structure of Ba5Sr24, as listed in Alexandria.

The space group is No. 217. As for the density of states at the Fermi level: 1.341 states/eV/atom. For the volume, the calculation gives 57.311 Å³/atom. The calculation puts the total DFT energy (no corrections) at -1.688 eV per atom. The value obtained for the formation energy from the elements is 0.04 eV/atom. The calculated density comes out at 2.787 g cm⁻³.

Cell: 12.9247 12.9247 12.9247 Å, 109.47 109.47 109.47°
With the nearest neighbours (Å) after each atom.
Element x y z (fractional)
1 Ba 0.0000 0.0000 0.0000  12 Sr 4.69, 4 Ba 4.71
2 Ba 0.0000 0.0000 0.3647  9 Sr 4.21-4.59, 1 Ba 4.71
3 Ba 0.0000 0.3647 0.0000  9 Sr 4.21-4.59, 1 Ba 4.71
4 Ba 0.3647 0.0000 0.0000  9 Sr 4.21-4.59, 1 Ba 4.71
5 Ba 0.6353 0.6353 0.6353  9 Sr 4.21-4.59, 1 Ba 4.71
6 Sr 0.0000 0.3197 0.5944  7 Sr 3.96-4.35, 1 Ba 4.21
7 Sr 0.0000 0.5944 0.3197  7 Sr 3.96-4.35, 1 Ba 4.21
8 Sr 0.0000 0.6212 0.8092  8 Sr 3.96-4.35
9 Sr 0.0000 0.8092 0.6212  8 Sr 3.96-4.35
10 Sr 0.1879 0.3788 0.3788  8 Sr 3.96-4.35
11 Sr 0.1908 0.1908 0.8121  8 Sr 3.96-4.35
12 Sr 0.1908 0.8121 0.1908  8 Sr 3.96-4.35
13 Sr 0.2747 0.6803 0.6803  7 Sr 3.96-4.35, 1 Ba 4.21
14 Sr 0.3197 0.0000 0.5944  7 Sr 3.96-4.35, 1 Ba 4.21
15 Sr 0.3197 0.5944 0.0000  7 Sr 3.96-4.35, 1 Ba 4.21
16 Sr 0.3788 0.1879 0.3788  8 Sr 3.96-4.35
17 Sr 0.3788 0.3788 0.1879  8 Sr 3.96-4.35
18 Sr 0.4056 0.4056 0.7253  7 Sr 3.96-4.35, 1 Ba 4.21
19 Sr 0.4056 0.7253 0.4056  7 Sr 3.96-4.35, 1 Ba 4.21
20 Sr 0.5944 0.0000 0.3197  7 Sr 3.96-4.35, 1 Ba 4.21
21 Sr 0.5944 0.3197 0.0000  7 Sr 3.96-4.35, 1 Ba 4.21
22 Sr 0.6212 0.0000 0.8092  8 Sr 3.96-4.35
23 Sr 0.6212 0.8092 0.0000  8 Sr 3.96-4.35
24 Sr 0.6803 0.2747 0.6803  7 Sr 3.96-4.35, 1 Ba 4.21
25 Sr 0.6803 0.6803 0.2747  7 Sr 3.96-4.35, 1 Ba 4.21
26 Sr 0.7253 0.4056 0.4056  7 Sr 3.96-4.35, 1 Ba 4.21
27 Sr 0.8092 0.0000 0.6212  8 Sr 3.96-4.35
28 Sr 0.8092 0.6212 0.0000  8 Sr 3.96-4.35
29 Sr 0.8121 0.1908 0.1908  8 Sr 3.96-4.35

Question: Number 1 is which compound?
Answer: AcEuBi2

Question: Which value of total DFT energy (no corrections) does entry 1 give?
Answer: -6.320 eV per atom